Density functional theory data (PBE) for NiHg2BiC after structural relaxation.

## Properties
Energy relative to the elements (kJ/mol of atoms): 67.9
DOS at the Fermi energy (states/eV/atom): 0.52
Total moment (Bohr magnetons per cell): 0.00

Lattice parameters (Å, degrees): 5.437 5.437 3.531 90.00 90.00 90.00
Space group P4/mmm (No. 123)
One atom of each set of equivalent atoms:
Ni (0.000, 0.000, 0.000) x1
Hg (0.000, 0.500, 0.000) x2
Bi (0.500, 0.500, 0.500) x1
C (0.000, 0.000, 0.500) x1

=====

Density functional theory data (PBE) for HgBiC2O6 after structural relaxation.

## Properties
DOS at the Fermi energy (states/eV/atom): 0.28
Formation energy (no corrections) (meV per atom): -1080
Total moment (Bohr magnetons per cell): 0.00

Lattice parameters (Å, degrees): 10.017 8.815 7.548 90.00 118.73 90.00
Space group C2/c (No. 15)
One atom of each set of equivalent atoms:
Hg (0.000, 0.046, 0.250) x4
Bi (0.000, 0.420, 0.750) x4
C (0.226, 0.368, 0.275) x8
O (0.086, 0.380, 0.120) x8
O (0.171, 0.209, 0.733) x8
O (0.245, 0.447, 0.432) x8

=====

Density functional theory data (PBE) for HgBiRhC2 after structural relaxation.

## Properties
Energy relative to the elements (kJ/mol of atoms): 240.9
DOS at the Fermi energy (states/eV/atom): 0.84
Total moment (Bohr magnetons per cell): 1.46

Lattice parameters (Å, degrees): 4.483 4.483 5.227 90.00 90.00 90.00
Space group P4/mmm (No. 123)
One atom of each set of equivalent atoms:
Hg (0.000, 0.000, 0.000) x1
Bi (0.500, 0.500, 0.500) x1
Rh (0.500, 0.500, 0.000) x1
C (0.000, 0.500, 0.500) x2

=====

Density functional theory data (PBE) for HgBiRh2C after structural relaxation.

## Properties
Energy relative to the elements (kJ/mol of atoms): 53.9
DOS at the Fermi energy (states/eV/atom): 0.86
Total moment (Bohr magnetons per cell): 0.00

Lattice parameters (Å, degrees): 4.157 4.157 5.106 90.00 90.00 90.00
Space group P4/mmm (No. 123)
One atom of each set of equivalent atoms:
Hg (0.000, 0.000, 0.000) x1
Bi (0.500, 0.500, 0.000) x1
Rh (0.000, 0.500, 0.500) x2
C (0.500, 0.500, 0.500) x1

=====

Density functional theory data (PBE) for Sc4HgBiC after structural relaxation.

## Properties
Energy relative to the elements (kJ/mol of atoms): -56.3
DOS at the Fermi energy (states/eV/atom): 0.76
Total moment (Bohr magnetons per cell): 0.00

Lattice parameters (Å, degrees): 6.377 14.832 6.359 90.00 90.00 90.00
Space group Cmcm (No. 63)
One atom of each set of equivalent atoms:
Sc (0.000, 0.090, 0.250) x4
Sc (0.000, 0.401, 0.250) x4
Sc (0.250, 0.250, 0.000) x8
Hg (0.000, 0.112, 0.750) x4
Bi (0.000, 0.396, 0.750) x4
C (0.000, 0.248, 0.250) x4

=====

Density functional theory data (PBE) for TcHg2BiC after structural relaxation.

## Properties
Energy relative to the elements (kJ/mol of atoms): 93.6
DOS at the Fermi energy (states/eV/atom): 0.73
Total moment (Bohr magnetons per cell): 0.19

Lattice parameters (Å, degrees): 5.015 5.015 4.029 90.00 90.00 90.00
Space group P4/mmm (No. 123)
One atom of each set of equivalent atoms:
Tc (0.000, 0.000, 0.000) x1
Hg (0.000, 0.500, 0.500) x2
Bi (0.500, 0.500, 0.000) x1
C (0.000, 0.000, 0.500) x1

=====

Question: What is the formula in the sixth record?
Answer: TcHg2BiC